[1]
U2SnMo: relaxed, GGA-PBE.

It has space group P4/mmm (No. 123), with a = 4.223 Å, b = 4.223 Å, c = 4.589 Å, α = 90.00°, β = 90.00° and γ = 90.00°. The asymmetric unit holds U at (0.000, 0.500, 0.000), Sn at (0.000, 0.000, 0.500) and Mo at (0.500, 0.500, 0.500).

The calculation puts the calculated total energy at -9.248 eV/atom. The total magnetization is 2.174 μB/cell. As for the formation energy: 10.1 kJ/mol of atoms. For the offset from the most stable computed form, the calculation gives 0.00 eV per formula unit.

=====

[2]
USnMo2: relaxed, GGA-PBE.

It has space group R-3m (No. 166, hexagonal axes), with a = 3.3339 Å, b = 3.3339 Å, c = 24.2949 Å, α = 90.00°, β = 90.00° and γ = 120.00°. The asymmetric unit holds U at (0.0000, 0.0000, 0.0000), Sn at (0.0000, 0.0000, 0.5000) and Mo at (0.0000, 0.0000, 0.2579).

The calculation puts the calculated total energy at -8.828 eV/atom. The total magnetization is 0.063 μB/cell. As for the formation energy: 39.5 kJ/mol of atoms. For the offset from the most stable computed form, the calculation gives 1.39 eV per formula unit.